DFT (PBE) results for Ca2Pd4Cl after structural relaxation.

```
data_Ca2Pd4Cl
_cell_length_a 4.570
_cell_length_b 4.570
_cell_length_c 15.391
_cell_angle_alpha 90.00
_cell_angle_beta 90.00
_cell_angle_gamma 90.00
_space_group_name_H-M_alt 'I 4/m m m'
_space_group_IT_number 139
_space_group_name_Hall '-I 4 2'
loop_
_atom_site_label
_atom_site_type_symbol
_atom_site_fract_x
_atom_site_fract_y
_atom_site_fract_z
Ca1 Ca 0.000 0.000 0.154
Pd1 Pd 0.000 0.000 0.340
Pd2 Pd 0.000 0.500 0.000
Cl1 Cl 0.000 0.000 0.500
```

The uncorrected formation energy is -118 meV per atom.